A plane-wave DFT calculation with GGA-PBE was carried out for a relaxed structure of PdSe2S2.

extended XYZ file:
```
10
Lattice="-6.632 1.520 -6.920 3.741 -1.610 8.808 0.445 6.446 0.989" Properties=species:S:1:pos:R:3 pbc="T T T"
Pd 3.060 2.900 7.981
Pd -5.591 2.220 -5.293
Se 1.226 2.462 5.152
Se -1.302 1.346 1.230
Se -3.891 0.716 -2.762
Se -1.172 4.597 1.585
S -4.848 4.177 -4.062
S 2.612 5.216 7.406
S -2.865 3.550 -1.057
S 0.626 5.787 4.392
```

Computed properties:
**Total DFT energy (no corrections)**: -3.980 eV/atom
**SG**: No. 36
**ρ**: 5059 kg/m3
**ΔE to the lowest computed polymorph**: 0.3 kJ/mol of atoms



A plane-wave DFT calculation with GGA-PBE was carried out for a relaxed structure of PdSe8S8.

extended XYZ file:
```
17
Lattice="-6.287 -5.479 0.682 -7.713 2.688 1.816 -5.994 -0.236 -5.833" Properties=species:S:1:pos:R:3 pbc="T T T"
S -7.758 -3.907 -0.249
S -12.414 -2.285 0.847
S -14.996 -2.270 -2.501
S -11.377 -4.050 -3.771
S -8.618 1.023 0.436
S -12.237 0.880 -3.086
S -4.999 -0.757 -0.834
S -7.581 -0.742 -4.182
Se -10.441 -1.281 -3.896
Se -8.788 -3.049 -2.849
Se -12.225 -1.851 -2.039
Se -11.207 0.022 -0.486
Se -7.770 -1.176 -1.296
Se -10.572 -3.618 -0.992
Se -9.554 -1.745 0.561
Se -9.423 0.591 -2.343
Pd 0.000 0.000 0.000
```

Computed properties:
**Total DFT energy (no corrections)**: -3.239 eV/atom
**SG**: No. 225
**ρ**: 3987 kg/m3



Question: Look up the ρ of the first one.
Answer: 5059 kg/m3



Question: The lowest total DFT energy (no corrections) belongs to which entry?
Answer: PdSe2S2



Question: Which formula does entry 1 have?
Answer: PdSe2S2



Question: The highest ρ belongs to which entry?
Answer: PdSe2S2